# 1
Here is crystalline LiCu2Ir2 at its relaxed geometry from Alexandria. Energies are from PBEsol.

Output
DFT formation energy = 0.601 eV per atom
V = 163.14 Å³/cell

Lattice parameters (Å, degrees): 4.3102 4.3102 8.7813 90.00 90.00 90.00
With the nearest neighbours (Å) after each atom.
Space group I4/mmm (No. 139)
Inequivalent atoms, fractional coordinates:
Li: 0.0000 0.0000 0.0000  8 Cu 3.08, 10 Ir 3.24-3.26
Cu: 0.0000 0.5000 0.2500  4 Ir 2.39
Ir: 0.0000 0.0000 0.3687  1 Ir 2.31, 4 Cu 2.39

***

# 2
Here is crystalline Li2CuIr at its relaxed geometry from Alexandria. Energies are from PBEsol.

Output
offset from the most stable computed form = 0.051 eV/atom
DFT formation energy = -0.028 eV per atom
V = 51.21 Å³/cell

Lattice parameters (Å, degrees): 2.4700 4.2663 4.9136 90.00 98.51 90.00
With the nearest neighbours (Å) after each atom.
Space group Pm (No. 6)
Inequivalent atoms, fractional coordinates:
Li: 0.0000 0.0000 0.0000  4 Li 2.47-2.54, 2 Ir 2.57-2.60, 2 Cu 2.59
Li: 0.2464 0.5000 0.7675  1 Cu 2.36, 4 Li 2.47-2.54
Cu: 0.9224 0.5000 0.2903  3 Li 2.36-2.59, 2 Cu 2.47, 2 Ir 2.60
Ir: 0.5286 0.0000 0.4905  2 Ir 2.47, 4 Li 2.57-2.68, 4 Cu 2.60-2.71

***

# 3
Here is crystalline Li2CuIr at its relaxed geometry from Alexandria. Energies are from PBEsol.

Output
offset from the most stable computed form = 0.100 eV/atom
DFT formation energy = 0.022 eV per atom
V = 51.34 Å³/cell

Lattice parameters (Å, degrees): 2.5391 2.5391 7.9641 90.00 90.00 90.00
With the nearest neighbours (Å) after each atom.
Space group P4/mmm (No. 123)
Inequivalent atoms, fractional coordinates:
Li: 0.0000 0.0000 0.2501  4 Li 2.54, 4 Ir 2.68, 4 Cu 2.68
Cu: 0.5000 0.5000 0.0000  4 Cu 2.54, 8 Li 2.68
Ir: 0.5000 0.5000 0.5000  4 Ir 2.54, 8 Li 2.68

***

# 4
Here is crystalline LiCuIr2 at its relaxed geometry from Alexandria. Energies are from PBEsol.

Output
DFT formation energy = -0.030 eV per atom
V = 103.89 Å³/cell

Lattice parameters (Å, degrees): 8.7459 2.6411 4.5649 90.00 99.85 90.00
With the nearest neighbours (Å) after each atom.
Space group C2/m (No. 12)
Inequivalent atoms, fractional coordinates:
Li: 0.0000 0.0000 0.0000  6 Ir 2.58-2.68, 4 Cu 2.64, 2 Li 2.64
Cu: 0.0000 0.5000 0.5000  6 Ir 2.60-2.69, 4 Li 2.64, 2 Cu 2.64
Ir: 0.2433 0.0000 0.7517  3 Li 2.58-2.68, 3 Cu 2.60-2.69, 6 Ir 2.61-2.67

***

The calculation returns the following raw total energy values, one per record and in order: -5.455, -4.550, -4.501, -6.517 eV/atom.